[1]
# YZr2Sb PBE-GGA optimized geometry
data_YZr2Sb
_cell_length_a 3.7986
_cell_length_b 3.7986
_cell_length_c 6.8465
_cell_angle_alpha 90.00
_cell_angle_beta 90.00
_cell_angle_gamma 90.00
_symmetry_space_group_name_H-M 'P 4 m m'
_symmetry_Int_Tables_number 99
_symmetry_space_group_name_Hall 'P 4 -2'
loop_
_atom_site_label
_atom_site_fract_x
_atom_site_fract_y
_atom_site_fract_z
Y1 0.0000 0.0000 0.0000
Zr1 0.0000 0.0000 0.5221
Zr2 0.5000 0.5000 0.2802
Sb1 0.5000 0.5000 0.7377
# ΔE_f (raw): -9.068 kcal/mol of atoms



[2]
# YZr2Sb PBE-GGA optimized geometry
data_YZr2Sb
_cell_length_a 4.2790
_cell_length_b 5.2277
_cell_length_c 9.0537
_cell_angle_alpha 90.00
_cell_angle_beta 90.00
_cell_angle_gamma 90.00
_symmetry_space_group_name_H-M 'C m m 2'
_symmetry_Int_Tables_number 35
_symmetry_space_group_name_Hall 'C 2 -2'
loop_
_atom_site_label
_atom_site_fract_x
_atom_site_fract_y
_atom_site_fract_z
Y1 0.0000 0.0000 0.0000
Zr1 0.0000 0.0000 0.5143
Zr2 0.0000 0.5000 0.2731
Sb1 0.0000 0.5000 0.7413
# ΔE_f (raw): -5.319 kcal/mol of atoms



[3]
# Y3ZrSb4 PBE-GGA optimized geometry
data_Y3ZrSb4
_cell_length_a 8.6537
_cell_length_b 12.2000
_cell_length_c 4.3152
_cell_angle_alpha 90.00
_cell_angle_beta 90.00
_cell_angle_gamma 90.00
_symmetry_space_group_name_H-M 'C m m m'
_symmetry_Int_Tables_number 65
_symmetry_space_group_name_Hall '-C 2 2'
loop_
_atom_site_label
_atom_site_fract_x
_atom_site_fract_y
_atom_site_fract_z
Y1 0.0000 0.0000 0.0000
Y2 0.2500 0.2500 0.5000
Zr1 0.0000 0.5000 0.0000
Sb1 0.0000 0.2553 0.0000
Sb2 0.2401 0.5000 0.5000
# ΔE_f (raw): -23.364 kcal/mol of atoms



[4]
# YZr2Sb PBE-GGA optimized geometry
data_YZr2Sb
_cell_length_a 10.7865
_cell_length_b 3.4052
_cell_length_c 5.4782
_cell_angle_alpha 90.00
_cell_angle_beta 102.55
_cell_angle_gamma 90.00
_symmetry_space_group_name_H-M 'C 1 2/m 1'
_symmetry_Int_Tables_number 12
_symmetry_space_group_name_Hall '-C 2y'
loop_
_atom_site_label
_atom_site_fract_x
_atom_site_fract_y
_atom_site_fract_z
Y1 0.0000 0.0000 0.0000
Zr1 0.2361 0.0000 0.7282
Sb1 0.0000 0.5000 0.5000
# ΔE_f (raw): -6.646 kcal/mol of atoms



[5]
# Y2ZrSb PBE-GGA optimized geometry
data_Y2ZrSb
_cell_length_a 4.3159
_cell_length_b 4.7585
_cell_length_c 10.2728
_cell_angle_alpha 90.00
_cell_angle_beta 90.00
_cell_angle_gamma 90.00
_symmetry_space_group_name_H-M 'I m m 2'
_symmetry_Int_Tables_number 44
_symmetry_space_group_name_Hall 'I 2 -2'
loop_
_atom_site_label
_atom_site_fract_x
_atom_site_fract_y
_atom_site_fract_z
Y1 0.0000 0.0000 0.0000
Y2 0.0000 0.5000 0.2415
Zr1 0.0000 0.5000 0.7659
Sb1 0.0000 0.0000 0.4910
# ΔE_f (raw): -8.601 kcal/mol of atoms



[6]
# Y3ZrSb4 PBE-GGA optimized geometry
data_Y3ZrSb4
_cell_length_a 7.4844
_cell_length_b 8.6541
_cell_length_c 7.4635
_cell_angle_alpha 90.00
_cell_angle_beta 109.54
_cell_angle_gamma 90.00
_symmetry_space_group_name_H-M 'P 1 2/c 1'
_symmetry_Int_Tables_number 13
_symmetry_space_group_name_Hall '-P 2yc'
loop_
_atom_site_label
_atom_site_fract_x
_atom_site_fract_y
_atom_site_fract_z
Y1 0.0000 0.1253 0.2500
Y2 0.0000 0.3753 0.7500
Y3 0.5000 0.1253 0.7500
Zr1 0.5000 0.3761 0.2500
Sb1 0.2553 0.1308 0.0055
Sb2 0.2601 0.3801 0.4996
# ΔE_f (raw): -23.354 kcal/mol of atoms



In eV per atom, the final energy values for the records above are, in order, -7.314 -7.151 -6.567 -7.209 -6.773 -6.566.